This record from the Alexandria database describes Ba4Ag3Pd after structural relaxation. The functional is GGA-PBE.

```
8
Lattice="4.6420 0.0000 0.0000 0.0000 4.9339 0.0000 0.0000 0.0000 12.4799" Properties=species:S:1:pos:R:3 pbc="T T T"
Ba 2.3210 2.4670 4.3682
Ba 0.0000 2.4670 10.9005
Ba 0.0000 0.0000 1.6983
Ba 2.3210 0.0000 7.9797
Ag 0.0000 2.4670 7.0620
Ag 0.0000 0.0000 5.3525
Ag 2.3210 0.0000 11.6774
Pd 2.3210 2.4670 0.8810
```

Results
- formation energy (eV/atom) = -0.333
- symmetry = Pmm2 (25)
- magnetic moment (Bohr magnetons per cell) = 0.0